1.
Material: SmHoGa2Au2
Method: DFT, PBE
State: relaxed

The structure in extended XYZ format:
```
6
Lattice="4.547 0.000 0.000 -2.273 3.937 0.000 0.000 0.000 7.222" Properties=species:S:1:pos:R:3 pbc="T T T"
Sm 0.000 0.000 0.000
Ho 0.000 0.000 3.611
Ga 2.273 1.312 1.885
Ga 0.000 2.625 5.337
Au 2.273 1.312 5.302
Au 0.000 2.625 1.920
```

Computed properties:
E_tot   -4.43 eV/atom
Density   10.90 g/cm3



2.
Material: Ac2LaIn
Method: DFT, PBE
State: relaxed

The structure in extended XYZ format:
```
4
Lattice="-0.931 -3.066 -2.296 3.572 0.159 -1.661 3.450 -6.163 6.829" Properties=species:S:1:pos:R:3 pbc="T T T"
Ac 2.679 -4.786 5.303
Ac 0.771 -1.378 1.526
In 1.320 -1.453 -1.979
La 3.045 -4.535 1.436
```

Computed properties:
E_tot   -4.15 eV/atom
E above lowest polymorph   0.035 eV/atom
Density   7.70 g/cm3



3.
Material: V3CuP
Method: DFT, PBE
State: relaxed

The structure in extended XYZ format:
```
5
Lattice="-3.900 -0.827 1.737 1.924 -1.766 3.477 0.044 3.887 1.949" Properties=species:S:1:pos:R:3 pbc="T T T"
P -0.966 0.647 3.582
Cu 0.000 0.000 0.000
V 0.962 -0.883 1.739
V 0.022 1.944 0.975
V -1.950 -0.414 0.869
```

Computed properties:
E_tot   -6.21 eV/atom
E above lowest polymorph   0.735 eV/atom
Density   4.99 g/cm3



4.
Material: PaZnRh
Method: DFT, PBE
State: relaxed

The structure in extended XYZ format:
```
6
Lattice="-1.108 -1.353 2.662 0.028 -2.957 -1.491 9.115 -2.237 4.599" Properties=species:S:1:pos:R:3 pbc="T T T"
Pa 0.438 -2.083 2.001
Pa 2.883 -3.948 2.056
Zn 6.578 -3.836 5.585
Zn 5.856 -4.431 3.071
Rh 3.905 -3.408 4.682
Rh 8.531 -4.860 3.974
```

Computed properties:
E_tot   -6.40 eV/atom
Density   12.18 g/cm3



5.
Material: CeVIr2
Method: DFT, PBE
State: relaxed

The structure in extended XYZ format:
```
4
Lattice="4.176 0.000 0.000 2.088 3.617 0.000 2.088 1.206 5.081" Properties=species:S:1:pos:R:3 pbc="T T T"
Ir 6.264 3.617 3.284
Ir 2.088 1.206 1.797
Ce 0.000 0.000 0.000
V 4.176 2.411 2.541
```

Computed properties:
E_tot   -8.65 eV/atom
Density   12.45 g/cm3



6.
Material: CoRhBrCl2
Method: DFT, PBE
State: relaxed

The structure in extended XYZ format:
```
5
Lattice="4.732 0.000 0.000 0.000 5.162 0.000 0.000 0.000 4.732" Properties=species:S:1:pos:R:3 pbc="T T T"
Co 2.366 2.581 2.366
Rh 0.000 0.000 0.000
Br 0.000 2.581 0.000
Cl 0.000 0.000 2.366
Cl 2.366 0.000 0.000
```

Computed properties:
E_tot   -3.56 eV/atom
Density   4.49 g/cm3
ΔE_f (raw)   0.4017 eV/atom



7.
Material: PuPaFeRu
Method: DFT, PBE
State: relaxed

The structure in extended XYZ format:
```
4
Lattice="4.765 0.000 0.000 2.383 4.127 0.000 2.383 1.376 3.891" Properties=species:S:1:pos:R:3 pbc="T T T"
Ru 7.148 4.127 2.918
Pa 0.000 0.000 0.000
Fe 2.383 1.376 0.973
Pu 4.765 2.751 1.945
```

Computed properties:
E_tot   -10.50 eV/atom
Density   13.71 g/cm3



8.
Material: TlIn3Bi
Method: DFT, PBE
State: relaxed

The structure in extended XYZ format:
```
10
Lattice="-3.470 2.239 3.421 -2.883 -6.340 1.224 5.326 -1.224 6.204" Properties=species:S:1:pos:R:3 pbc="T T T"
Tl 2.846 -0.654 3.315
Tl -0.697 -2.621 5.212
In -0.865 -4.845 2.294
In 0.131 -4.770 7.458
In 1.744 -1.222 6.772
In 0.405 -2.052 1.754
In 4.887 -1.123 5.693
In -2.738 -2.152 2.834
Bi -0.912 0.930 2.669
Bi 3.061 -4.205 5.858
```

Computed properties:
E_tot   -2.82 eV/atom
E above lowest polymorph   0.036 eV/atom
Density   8.03 g/cm3



9.
Material: Zn2CoMo
Method: DFT, PBE
State: relaxed

The structure in extended XYZ format:
```
4
Lattice="2.714 0.000 0.000 1.357 2.351 0.000 1.357 0.784 8.765" Properties=species:S:1:pos:R:3 pbc="T T T"
Zn 1.357 0.784 6.731
Zn 1.357 0.784 2.037
Co 4.071 2.351 8.765
Mo 2.714 1.567 4.380
```

Computed properties:
E_tot   -4.94 eV/atom
E above lowest polymorph   0.187 eV/atom
Density   8.48 g/cm3



10.
Material: CeWS
Method: DFT, PBE
State: relaxed

The structure in extended XYZ format:
```
6
Lattice="-2.333 0.625 -2.887 -2.711 -1.914 1.776 -2.857 7.743 3.985" Properties=species:S:1:pos:R:3 pbc="T T T"
W 0.000 0.000 0.000
W -2.522 -0.645 -0.555
Ce -3.374 4.515 3.704
Ce -2.004 2.584 -0.275
S -2.445 1.996 2.408
S -2.934 5.103 1.022
```

Computed properties:
E_tot   -8.24 eV/atom
Density   9.11 g/cm3
ΔE_f (raw)   -0.5674 eV/atom



11.
Material: Nd8InBi5
Method: DFT, PBE
State: relaxed

The structure in extended XYZ format:
```
14
Lattice="7.932 0.000 -2.741 -3.951 6.843 -2.825 -0.030 0.000 8.392" Properties=species:S:1:pos:R:3 pbc="T T T"
Nd -1.963 5.127 -2.331
Nd 7.351 0.755 3.147
Nd 5.116 1.720 0.340
Nd 3.356 2.699 4.514
Nd 1.405 4.144 -1.109
Nd 1.404 6.089 3.113
Nd 1.110 1.716 1.722
Nd -1.975 5.124 1.906
In -0.015 3.422 4.196
Bi 6.431 2.565 -2.753
Bi 3.487 5.980 -2.766
Bi 3.455 4.279 1.410
Bi 3.951 0.000 2.825
Bi 2.490 0.863 -1.372
```

Computed properties:
E_tot   -5.07 eV/atom
Density   8.45 g/cm3



12.
Material: Tl2BiF2
Method: DFT, PBE
State: relaxed

The structure in extended XYZ format:
```
10
Lattice="-4.312 5.213 -4.035 -6.042 -5.053 -0.071 -1.182 1.371 3.034" Properties=species:S:1:pos:R:3 pbc="T T T"
Tl -5.284 -1.815 0.819
Tl -8.510 -0.104 -1.211
Tl -6.252 3.346 -1.890
Tl -3.026 1.634 0.140
Bi 0.000 0.000 0.000
Bi -5.177 0.080 -2.053
F -6.710 -2.470 -1.498
F -7.582 1.211 -3.501
F -3.644 2.629 -2.607
F -2.772 -1.051 -0.605
```

Computed properties:
E_tot   -3.54 eV/atom
Density   9.94 g/cm3
ΔE_f (raw)   -1.0735 eV/atom



13.
Material: Ca2InCu3Au12
Method: DFT, PBE
State: relaxed

The structure in extended XYZ format:
```
18
Lattice="-1.797 -7.081 -3.562 4.302 -6.460 2.414 -3.922 -5.458 4.571" Properties=species:S:1:pos:R:3 pbc="T T T"
Ca -0.853 -11.446 2.062
Ca -0.563 -7.553 1.361
In 0.000 0.000 0.000
Cu -0.898 -3.541 -1.781
Cu 2.151 -3.230 1.207
Cu -1.961 -2.729 2.285
Au -2.567 -9.764 3.637
Au 0.586 -13.750 0.833
Au -0.388 -13.005 4.560
Au -1.455 -10.614 -0.620
Au -3.183 -13.290 1.821
Au 1.737 -10.288 2.508
Au 1.152 -9.235 -0.214
Au -2.002 -5.250 2.590
Au -1.028 -5.994 -1.137
Au 0.039 -8.385 4.043
Au 1.767 -5.709 1.601
Au -3.153 -8.711 0.915
```

Computed properties:
E_tot   -3.25 eV/atom
Density   11.15 g/cm3